1.
The following is a DFT calculation (PBE) of LiMn2S4 after structural relaxation.

a b c (Å): 4.5372 4.5372 14.1709
angles (deg): 90.00 90.00 90.00
Space group I4/mmm (No. 139)
Asymmetric unit:
Li 0.0000 0.0000 0.0000 [2 per cell]
Mn 0.0000 0.0000 0.4099 [4 per cell]
S 0.0000 0.0000 0.2629 [4 per cell]
S 0.0000 0.5000 0.0000 [4 per cell]

## Properties
- energy relative to the lowest polymorph listed for this composition (meV/atom) = 590
- uncorrected formation energy (meV/atom) = -139
- N(E_F) (states/eV per cell) = 5.37
- size of the total moment (μB per atom) = 0.990


2.
The following is a DFT calculation (PBE) of Li2MnS after structural relaxation.

a b c (Å): 7.7837 7.7837 4.5497
angles (deg): 90.00 90.00 90.00
Space group I-42d (No. 122)
Asymmetric unit:
Li 0.1574 0.7500 0.1250 [8 per cell]
Mn 0.0000 0.0000 0.5000 [4 per cell]
S 0.0000 0.0000 0.0000 [4 per cell]

## Properties
- uncorrected formation energy (meV/atom) = -297
- N(E_F) (states/eV per cell) = 1.87
- size of the total moment (μB per atom) = 0.753


3.
The following is a DFT calculation (PBE) of LiMn2S4 after structural relaxation.

a b c (Å): 3.4662 11.4572 11.7447
angles (deg): 90.00 90.00 90.00
Space group Cmcm (No. 63)
Asymmetric unit:
Li 0.0000 0.0993 0.2500 [4 per cell]
Mn 0.0000 0.3625 0.0704 [8 per cell]
S 0.0000 0.0000 0.0000 [4 per cell]
S 0.0000 0.2724 0.6114 [8 per cell]
S 0.0000 0.4453 0.2500 [4 per cell]

## Properties
- energy relative to the lowest polymorph listed for this composition (meV/atom) = 91
- uncorrected formation energy (meV/atom) = -637
- N(E_F) (states/eV per cell) = 9.64
- size of the total moment (μB per atom) = 0.988


4.
The following is a DFT calculation (PBE) of LiMn2S4 after structural relaxation.

a b c (Å): 9.8571 9.8571 9.8571
angles (deg): 90.00 90.00 90.00
Space group Fd-3m (No. 227, origin choice 2)
Asymmetric unit:
Li 0.1250 0.1250 0.1250 [8 per cell]
Mn 0.0000 0.0000 0.5000 [16 per cell]
S 0.0122 0.0122 0.7378 [32 per cell]

## Properties
- energy relative to the lowest polymorph listed for this composition (meV/atom) = 0
- uncorrected formation energy (meV/atom) = -729
- N(E_F) (states/eV per cell) = 25.01
- size of the total moment (μB per atom) = 0.730


5.
The following is a DFT calculation (PBE) of LiMn2S4 after structural relaxation.

a b c (Å): 6.8891 6.9114 9.7091
angles (deg): 90.00 90.00 90.00
Space group Imma (No. 74)
Asymmetric unit:
Li 0.0000 0.0000 0.0000 [4 per cell]
Mn 0.0000 0.0000 0.5000 [4 per cell]
Mn 0.2500 0.2500 0.2500 [4 per cell]
S 0.0000 0.0179 0.2583 [8 per cell]
S 0.2325 0.2500 0.4920 [8 per cell]

## Properties
- energy relative to the lowest polymorph listed for this composition (meV/atom) = 19
- uncorrected formation energy (meV/atom) = -710
- N(E_F) (states/eV per cell) = 11.82
- size of the total moment (μB per atom) = 0.749


6.
The following is a DFT calculation (PBE) of LiMnS3 after structural relaxation.

a b c (Å): 4.4742 4.4742 4.4742
angles (deg): 90.00 90.00 90.00
Space group Pm-3m (No. 221)
Asymmetric unit:
Li 0.0000 0.0000 0.0000 [1 per cell]
Mn 0.5000 0.5000 0.5000 [1 per cell]
S 0.0000 0.5000 0.5000 [3 per cell]

## Properties
- energy relative to the lowest polymorph listed for this composition (meV/atom) = 0
- uncorrected formation energy (meV/atom) = -41
- N(E_F) (states/eV per cell) = 9.48
- size of the total moment (μB per atom) = 0.000


7.
The following is a DFT calculation (PBE) of LiMnS4 after structural relaxation.

a b c (Å): 13.0800 6.0664 6.0949
angles (deg): 90.00 114.71 90.00
Space group C2/c (No. 15)
Asymmetric unit:
Li 0.0000 0.2101 0.2500 [4 per cell]
Mn 0.2500 0.2500 0.0000 [4 per cell]
S 0.0657 0.1887 0.6989 [8 per cell]
S 0.2042 0.3563 0.3575 [8 per cell]

## Properties
- uncorrected formation energy (meV/atom) = -481
- N(E_F) (states/eV per cell) = 4.68
- size of the total moment (μB per atom) = 0.668


8.
The following is a DFT calculation (PBE) of LiMn2S3 after structural relaxation.

a b c (Å): 6.2166 10.7675 6.2227
angles (deg): 90.00 109.44 90.00
Space group C2/m (No. 12)
Asymmetric unit:
Li 0.0000 0.1664 0.0000 [4 per cell]
Mn 0.0000 0.0000 0.5000 [2 per cell]
Mn 0.0000 0.3342 0.5000 [4 per cell]
Mn 0.0000 0.5000 0.0000 [2 per cell]
S 0.2395 0.5000 0.7494 [4 per cell]
S 0.2477 0.3379 0.2598 [8 per cell]

## Properties
- uncorrected formation energy (meV/atom) = -755
- N(E_F) (states/eV per cell) = 9.85
- size of the total moment (μB per atom) = 1.479


9.
The following is a DFT calculation (PBE) of LiMn3S4 after structural relaxation.

a b c (Å): 5.0435 8.4984 7.3734
angles (deg): 90.00 90.00 90.00
Space group Pmmn (No. 59, origin choice 2)
Asymmetric unit:
Li 0.2500 0.2500 0.1628 [2 per cell]
Mn 0.2500 0.5066 0.6679 [4 per cell]
Mn 0.2500 0.7500 0.1666 [2 per cell]
S 0.2500 0.2500 0.8191 [2 per cell]
S 0.2500 0.5063 0.3376 [4 per cell]
S 0.2500 0.7500 0.8384 [2 per cell]

## Properties
- uncorrected formation energy (meV/atom) = -676
- N(E_F) (states/eV per cell) = 5.20
- size of the total moment (μB per atom) = 1.731


10.
The following is a DFT calculation (PBE) of Li2Mn2S3 after structural relaxation.

a b c (Å): 12.8232 3.6411 6.2852
angles (deg): 90.00 116.88 90.00
Space group C2/m (No. 12)
Asymmetric unit:
Li 0.1357 0.0000 0.4284 [4 per cell]
Mn 0.1506 0.5000 0.0407 [4 per cell]
S 0.0000 0.0000 0.0000 [2 per cell]
S 0.1993 0.5000 0.7095 [4 per cell]

## Properties
- uncorrected formation energy (meV/atom) = -785
- N(E_F) (states/eV per cell) = 1.82
- size of the total moment (μB per atom) = 1.429


11.
The following is a DFT calculation (PBE) of Li2MnS2 after structural relaxation.

a b c (Å): 6.5335 6.5335 3.6185
angles (deg): 90.00 90.00 90.00
Space group P4/mbm (No. 127)
Asymmetric unit:
Li 0.1394 0.3606 0.0000 [4 per cell]
Mn 0.0000 0.0000 0.5000 [2 per cell]
S 0.1780 0.6780 0.5000 [4 per cell]

## Properties
- energy relative to the lowest polymorph listed for this composition (meV/atom) = 73
- uncorrected formation energy (meV/atom) = -797
- N(E_F) (states/eV per cell) = 3.98
- size of the total moment (μB per atom) = 0.776


12.
The following is a DFT calculation (PBE) of Li2MnS2 after structural relaxation.

a b c (Å): 8.5632 8.7502 9.5554
angles (deg): 90.00 90.00 90.00
Space group Fddd (No. 70, origin choice 2)
Asymmetric unit:
Li 0.1250 0.1250 0.2690 [16 per cell]
Mn 0.1250 0.1250 0.6250 [8 per cell]
S 0.1250 0.3602 0.1250 [16 per cell]

## Properties
- energy relative to the lowest polymorph listed for this composition (meV/atom) = 0
- uncorrected formation energy (meV/atom) = -870
- size of the total moment (μB per atom) = 1.000


13.
The following is a DFT calculation (PBE) of LiMnS3 after structural relaxation.

a b c (Å): 4.3984 4.3984 4.3984
angles (deg): 90.00 90.00 90.00
Space group Pm-3m (No. 221)
Asymmetric unit:
Li 0.0000 0.0000 0.0000 [1 per cell]
Mn 0.5000 0.5000 0.5000 [1 per cell]
S 0.0000 0.0000 0.5000 [3 per cell]

## Properties
- energy relative to the lowest polymorph listed for this composition (meV/atom) = 470
- uncorrected formation energy (meV/atom) = 428
- N(E_F) (states/eV per cell) = 5.03
- size of the total moment (μB per atom) = 0.733


14.
The following is a DFT calculation (PBE) of Li6MnS4 after structural relaxation.

a b c (Å): 8.0409 8.0409 5.7975
angles (deg): 90.00 90.00 90.00
Space group P4_2/nmc (No. 137, origin choice 2)
Asymmetric unit:
Li 0.0231 0.5231 0.2500 [8 per cell]
Li 0.2500 0.2500 0.2127 [4 per cell]
Mn 0.2500 0.7500 0.7500 [2 per cell]
S 0.0065 0.2500 0.4664 [8 per cell]

## Properties
- uncorrected formation energy (meV/atom) = -1196
- N(E_F) (states/eV per cell) = 0.00
- size of the total moment (μB per atom) = 0.455


15.
The following is a DFT calculation (PBE) of Li3MnS after structural relaxation.

a b c (Å): 4.7655 4.7655 4.7655
angles (deg): 90.00 90.00 90.00
Space group Pm-3m (No. 221)
Asymmetric unit:
Li 0.0000 0.0000 0.5000 [3 per cell]
Mn 0.0000 0.0000 0.0000 [1 per cell]
S 0.5000 0.5000 0.5000 [1 per cell]

## Properties
- energy relative to the lowest polymorph listed for this composition (meV/atom) = 783
- uncorrected formation energy (meV/atom) = 585
- N(E_F) (states/eV per cell) = 14.53
- size of the total moment (μB per atom) = 0.805


16.
The following is a DFT calculation (PBE) of Li3Mn5S12 after structural relaxation.

a b c (Å): 14.4598 14.4598 14.4598
angles (deg): 90.00 90.00 90.00
Space group Ia-3d (No. 230)
Asymmetric unit:
Li 0.0000 0.2500 0.1250 [24 per cell]
Mn 0.0000 0.0000 0.0000 [16 per cell]
Mn 0.0000 0.2500 0.3750 [24 per cell]
S 0.0325 0.0596 0.6491 [96 per cell]

## Properties
- uncorrected formation energy (meV/atom) = -469
- N(E_F) (states/eV per cell) = 52.41
- size of the total moment (μB per atom) = 0.702


17.
The following is a DFT calculation (PBE) of Li2MnSbS4 after structural relaxation.

a b c (Å): 7.2912 7.5766 10.6598
angles (deg): 90.00 90.00 90.00
Space group Imma (No. 74)
Asymmetric unit:
Li 0.0000 0.0000 0.0000 [4 per cell]
Li 0.2500 0.2500 0.2500 [4 per cell]
Mn 0.2500 0.2500 0.7500 [4 per cell]
Sb 0.0000 0.0000 0.5000 [4 per cell]
S 0.0000 0.0310 0.7523 [8 per cell]
S 0.2392 0.2500 0.0042 [8 per cell]

## Properties
- uncorrected formation energy (meV/atom) = -721
- N(E_F) (states/eV per cell) = 10.01
- size of the total moment (μB per atom) = 0.500


18.
The following is a DFT calculation (PBE) of Li4Sc3MnS8 after structural relaxation.

a b c (Å): 7.3041 7.3041 18.2238
angles (deg): 90.00 90.00 120.00
Space group R-3m (No. 166, hexagonal axes)
Asymmetric unit:
Li 0.0000 0.0000 0.0000 [3 per cell]
Li 0.0000 0.5000 0.0000 [9 per cell]
Sc 0.0000 0.5000 0.5000 [9 per cell]
Mn 0.0000 0.0000 0.5000 [3 per cell]
S 0.0000 0.0000 0.2473 [6 per cell]
S 0.0099 0.5049 0.2457 [18 per cell]

## Properties
- uncorrected formation energy (meV/atom) = -1529
- N(E_F) (states/eV per cell) = 6.64
- size of the total moment (μB per atom) = 0.250